(1)
# K3Pa2H2O5

An optimized crystal structure of K3Pa2H2O5 (PBE, Alexandria).

Cell lengths 4.3936, 4.3936, 12.0274 Å; angles 100.52, 100.52, 90.00 degrees
Site moments in Bohr magnetons follow the coordinates.
Positions (direct):
K 0.1871 0.1870 0.3741  0.00
K 0.8129 0.8129 0.6259  0.00
K 0.0000 0.0000 0.0000  0.00
Pa 0.4051 0.4051 0.8103  0.52
Pa 0.5949 0.5949 0.1897  0.52
H 0.6957 0.6957 0.3915  0.00
H 0.3043 0.3043 0.6085  0.00
O 0.6021 0.1021 0.2041  -0.02
O 0.3979 0.8979 0.7959  -0.02
O 0.1021 0.6021 0.2041  -0.02
O 0.8979 0.3979 0.7959  -0.02
O 0.5000 0.5000 0.0000  -0.01


(2)
# KPaHO4

An optimized crystal structure of KPaHO4 (PBE, Alexandria).

Cell lengths 5.5870, 4.5679, 7.6455 Å; angles 90.00, 103.15, 90.00 degrees
Site moments in Bohr magnetons follow the coordinates.
Positions (direct):
K 0.7505 0.7500 0.9562  0.00
K 0.2495 0.2500 0.0438  0.00
Pa 0.7350 0.7500 0.4450  0.00
Pa 0.2650 0.2500 0.5550  0.00
H 0.2911 0.7500 0.2286  0.00
H 0.7089 0.2500 0.7714  0.00
O 0.9942 0.5002 0.6805  0.09
O 0.0058 0.0002 0.3195  0.09
O 0.0058 0.4998 0.3195  0.09
O 0.9942 0.9998 0.6805  0.09
O 0.4420 0.7500 0.1816  0.00
O 0.5580 0.2500 0.8184  0.00
O 0.4340 0.7500 0.5703  0.00
O 0.5660 0.2500 0.4297  0.00


(3)
# KPa3H4O12

An optimized crystal structure of KPa3H4O12 (PBE, Alexandria).

Cell lengths 6.6878, 6.6878, 6.6878 Å; angles 102.48, 102.48, 102.48 degrees
Site moments in Bohr magnetons follow the coordinates.
Positions (direct):
K 0.0000 0.0000 0.0000  0.00
Pa 0.5471 0.4529 0.0000  0.02
Pa 0.4529 0.0000 0.5471  0.02
Pa 0.0000 0.5471 0.4529  0.02
H 0.8795 0.1205 0.5000  0.00
H 0.1205 0.5000 0.8795  0.00
H 0.5000 0.8795 0.1205  0.00
H 0.5000 0.5000 0.5000  -0.01
O 0.5000 0.3635 0.6365  0.24
O 0.8837 0.5000 0.1163  0.08
O 0.1163 0.8837 0.5000  0.08
O 0.5000 0.1163 0.8837  0.08
O 0.4125 0.9783 0.2301  0.09
O 0.2301 0.4125 0.9783  0.09
O 0.9783 0.2301 0.4125  0.09
O 0.5875 0.7699 0.0217  0.09
O 0.0217 0.5875 0.7699  0.09
O 0.7699 0.0217 0.5875  0.09
O 0.6365 0.5000 0.3635  0.24
O 0.3635 0.6365 0.5000  0.24


(4)
# KHPdO2

An optimized crystal structure of KHPdO2 (PBE, Alexandria).

Cell lengths 3.1492, 6.8381, 9.0284 Å; angles 131.92, 90.00, 90.00 degrees
Positions (direct):
K 0.4984 0.5000 0.7500
K 0.5016 0.5000 0.2500
H 0.0000 0.0000 0.0000
H 0.0000 0.0000 0.5000
Pd 0.4988 0.0000 0.2500
Pd 0.5012 0.0000 0.7500
O 0.9988 0.8815 0.0577
O 0.9988 0.1185 0.4423
O 0.0012 0.8815 0.5577
O 0.0012 0.1185 0.9423


(5)
# KPuH2O4

An optimized crystal structure of KPuH2O4 (PBE, Alexandria).

Cell lengths 5.2678, 5.6754, 5.6754 Å; angles 73.92, 62.35, 62.35 degrees
Site moments in Bohr magnetons follow the coordinates.
Positions (direct):
K 0.0000 0.0000 0.0000  0.00
Pu 0.5000 0.5000 0.5000  3.36
H 0.1826 0.3174 0.3174  0.00
H 0.8174 0.6826 0.6826  0.00
O 0.4235 0.3051 0.3087  -0.10
O 0.0372 0.6949 0.6913  -0.10
O 0.9628 0.3087 0.3051  -0.10
O 0.5765 0.6913 0.6949  -0.10


(6)
# K2H2RuO5

An optimized crystal structure of K2H2RuO5 (PBE, Alexandria).

Cell lengths 6.8089, 8.1169, 10.7256 Å; angles 90.00, 90.00, 90.00 degrees
Site moments in Bohr magnetons follow the coordinates.
Positions (direct):
K 0.8680 0.4013 0.5464  0.00
K 0.6320 0.5987 0.0464  0.00
K 0.1320 0.9013 0.9536  0.00
K 0.3680 0.0987 0.4536  0.00
K 0.4577 0.7560 0.6859  0.01
K 0.0423 0.2440 0.1859  0.01
K 0.5423 0.2560 0.8141  0.01
K 0.9577 0.7440 0.3141  0.01
H 0.8554 0.0763 0.4050  0.00
H 0.6446 0.9237 0.9050  0.00
H 0.1446 0.5763 0.0950  0.00
H 0.3554 0.4237 0.5950  0.00
H 0.6532 0.2725 0.2911  0.00
H 0.8468 0.7275 0.7911  0.00
H 0.3468 0.7725 0.2089  0.00
H 0.1532 0.2275 0.7089  0.00
Ru 0.4035 0.5588 0.3810  1.11
Ru 0.0965 0.4412 0.8810  1.11
Ru 0.5965 0.0588 0.1190  1.11
Ru 0.9035 0.9412 0.6190  1.11
O 0.8026 0.9225 0.1282  0.20
O 0.6974 0.0775 0.6282  0.20
O 0.1974 0.4225 0.3718  0.20
O 0.3026 0.5775 0.8718  0.20
O 0.9761 0.0413 0.4500  0.03
O 0.5239 0.9587 0.9500  0.03
O 0.0239 0.5413 0.0500  0.03
O 0.4761 0.4587 0.5500  0.03
O 0.1422 0.9962 0.6766  0.19
O 0.3578 0.0038 0.1766  0.19
O 0.8578 0.4962 0.8234  0.19
O 0.6422 0.5038 0.3234  0.19
O 0.1373 0.2418 0.9434  0.19
O 0.3627 0.7582 0.4434  0.19
O 0.8627 0.7418 0.5566  0.19
O 0.6373 0.2582 0.0566  0.19
O 0.8229 0.8475 0.7924  0.01
O 0.6771 0.1525 0.2924  0.01
O 0.1771 0.3475 0.7076  0.01
O 0.3229 0.6525 0.2076  0.01


(7)
# KHRuO4

An optimized crystal structure of KHRuO4 (PBE, Alexandria).

Cell lengths 4.9210, 6.2249, 8.0171 Å; angles 90.00, 106.02, 90.00 degrees
Positions (direct):
K 0.4722 0.7500 0.8377
K 0.5278 0.2500 0.1623
H 0.5936 0.7500 0.4570
H 0.4064 0.2500 0.5430
Ru 0.1658 0.7500 0.2546
Ru 0.8342 0.2500 0.7454
O 0.9802 0.5009 0.8044
O 0.0198 0.0009 0.1956
O 0.0198 0.4991 0.1956
O 0.9802 0.9991 0.8044
O 0.5022 0.7500 0.1970
O 0.4978 0.2500 0.8030
O 0.4072 0.7500 0.4837
O 0.5928 0.2500 0.5163


(8)
# K2HS2O6

An optimized crystal structure of K2HS2O6 (PBE, Alexandria).

Cell lengths 5.8359, 6.2314, 6.8521 Å; angles 113.58, 90.00, 117.92 degrees
Site moments in Bohr magnetons follow the coordinates.
Positions (direct):
K 0.7053 0.4106 0.2240  0.00
K 0.2947 0.5894 0.7760  0.00
H 0.5000 0.0000 0.5000  0.38
S 0.0021 0.0041 0.8422  0.00
S 0.9979 0.9959 0.1578  0.00
O 0.8573 0.7146 0.6798  0.00
O 0.1367 0.8499 0.1558  0.01
O 0.2868 0.1501 0.8442  0.01
O 0.8633 0.1501 0.8442  0.01
O 0.7132 0.8499 0.1558  0.01
O 0.1427 0.2854 0.3202  0.00


(9)
# K2H2S2O

An optimized crystal structure of K2H2S2O (PBE, Alexandria).

Cell lengths 4.2886, 6.0121, 6.0120 Å; angles 90.96, 69.10, 69.10 degrees
Positions (direct):
K 0.5001 0.2474 0.7525
K 0.4999 0.7526 0.2475
H 0.1345 0.8655 0.8656
H 0.8655 0.1345 0.1344
S 0.1465 0.3535 0.3534
S 0.8535 0.6465 0.6466
O 0.0000 0.0000 0.0000


For each record above, in turn, the calculated V values are 224.3 190.0 274.1 144.7 132.7 592.8 236.0 196.3 133.4 Å³ per cell.
For each record above, in turn, the calculated raw total energy values are -80.5 -49.6 -141.3 -24.2 -55.2 -55.6 -40.7 -57.7 -27.9 eV per formula unit.